13
Lattice="7.513 -1.636 0.000 7.513 1.636 0.000 -4.977 0.000 7.892" Properties=species:S:1:pos:R:3 comment="PBE ZnSn4O8, optimized geometry" spacegroup="Cm, No. 8" magnetic_moment_mub_per_atom=0.000 relative_energy_ev_per_fu=0.000 formation_energy_uncorrected_ev_per_atom=-1.434 energy_ev_per_atom=-5.8146 pbc="T T T"
Zn 0.000 0.000 0.000
Sn 3.543 0.000 0.261
Sn 3.248 0.000 5.401
Sn 8.430 0.000 2.884
Sn 13.091 0.000 2.981
O -3.390 0.000 6.360
O -0.011 0.000 3.867
O 1.485 0.000 1.552
O 1.928 0.000 6.996
O 4.855 0.000 4.034
O 6.530 0.000 1.909
O 11.593 0.000 1.575
O 9.941 0.000 4.251